Record 1
First-principles (GGA-PBE) data for a geometry-optimized AgSnN2O structure, as listed in Alexandria via LeMat-Bulk.

Formation energy without anion corrections ... 7.0 eV per formula unit
DOS at the Fermi energy ... 0.47 states/eV per atom
Symmetry ... P4/mmm, No. 123
Density ... 6210 kg/m³

CIF file:
```
data_AgSnN2O
_space_group_name_H-M_alt 'P 1'
_space_group_IT_number 1
_cell_length_a 4.094
_cell_length_b 4.094
_cell_length_c 4.318
_cell_angle_alpha 90.00
_cell_angle_beta 90.00
_cell_angle_gamma 90.00
loop_
_space_group_symop_operation_xyz
'x,y,z'
loop_
_atom_site_label
_atom_site_type_symbol
_atom_site_fract_x
_atom_site_fract_y
_atom_site_fract_z
Ag1 Ag 0.000 0.000 0.000
Sn1 Sn 0.500 0.500 0.500
N1 N 0.000 0.500 0.000
N2 N 0.500 0.000 0.000
O1 O 0.000 0.000 0.500
```

Record 2
First-principles (GGA-PBE) data for a geometry-optimized SrTl2Ru structure, as listed in Alexandria via LeMat-Bulk.

Calculated formation energy ... 1.5 eV/f.u.
DOS at the Fermi energy ... 0.82 states/eV per atom
Symmetry ... C2/m, No. 12
Density ... 9895 kg/m³

CIF file:
```
data_SrTl2Ru
_space_group_name_H-M_alt 'P 1'
_space_group_IT_number 1
_cell_length_a 6.492
_cell_length_b 6.487
_cell_length_c 4.762
_cell_angle_alpha 90.00
_cell_angle_beta 90.33
_cell_angle_gamma 90.00
loop_
_space_group_symop_operation_xyz
'x,y,z'
loop_
_atom_site_label
_atom_site_type_symbol
_atom_site_fract_x
_atom_site_fract_y
_atom_site_fract_z
Sr1 Sr 0.000 0.000 0.000
Sr2 Sr 0.500 0.500 0.000
Tl1 Tl 0.250 0.250 0.500
Tl2 Tl 0.250 0.750 0.500
Tl3 Tl 0.750 0.250 0.500
Tl4 Tl 0.750 0.750 0.500
Ru1 Ru 0.000 0.500 0.000
Ru2 Ru 0.500 0.000 0.000
```

Record 3
First-principles (GGA-PBE) data for a geometry-optimized SrTbAgHg structure, as listed in Alexandria via LeMat-Bulk.

Calculated formation energy ... -1.3 eV/f.u.
DOS at the Fermi energy ... 0.69 states/eV per atom
ΔE to the lowest computed polymorph ... 59 meV/atom
Symmetry ... F-43m, No. 216
Density ... 8331 kg/m³

CIF file:
```
data_SrTbAgHg
_space_group_name_H-M_alt 'P 1'
_space_group_IT_number 1
_cell_length_a 7.620
_cell_length_b 7.620
_cell_length_c 7.620
_cell_angle_alpha 90.00
_cell_angle_beta 90.00
_cell_angle_gamma 90.00
loop_
_space_group_symop_operation_xyz
'x,y,z'
loop_
_atom_site_label
_atom_site_type_symbol
_atom_site_fract_x
_atom_site_fract_y
_atom_site_fract_z
Sr1 Sr 0.000 0.000 0.000
Sr2 Sr 0.000 0.500 0.500
Sr3 Sr 0.500 0.000 0.500
Sr4 Sr 0.500 0.500 0.000
Tb1 Tb 0.000 0.000 0.500
Tb2 Tb 0.000 0.500 0.000
Tb3 Tb 0.500 0.000 0.000
Tb4 Tb 0.500 0.500 0.500
Ag1 Ag 0.250 0.250 0.750
Ag2 Ag 0.250 0.750 0.250
Ag3 Ag 0.750 0.250 0.250
Ag4 Ag 0.750 0.750 0.750
Hg1 Hg 0.250 0.250 0.250
Hg2 Hg 0.250 0.750 0.750
Hg3 Hg 0.750 0.250 0.750
Hg4 Hg 0.750 0.750 0.250
```

Record 4
First-principles (GGA-PBE) data for a geometry-optimized Cr2GaP structure, as listed in Alexandria via LeMat-Bulk.

Calculated formation energy ... 0.4 eV/f.u.
DOS at the Fermi energy ... 1.04 states/eV per atom
ΔE to the lowest computed polymorph ... 0 meV/atom
Symmetry ... Fm-3m, No. 225
Density ... 6722 kg/m³

CIF file:
```
data_Cr2GaP
_space_group_name_H-M_alt 'P 1'
_space_group_IT_number 1
_cell_length_a 5.870
_cell_length_b 5.870
_cell_length_c 5.870
_cell_angle_alpha 90.00
_cell_angle_beta 90.00
_cell_angle_gamma 90.00
loop_
_space_group_symop_operation_xyz
'x,y,z'
loop_
_atom_site_label
_atom_site_type_symbol
_atom_site_fract_x
_atom_site_fract_y
_atom_site_fract_z
Cr1 Cr 0.250 0.250 0.250
Cr2 Cr 0.250 0.250 0.750
Cr3 Cr 0.250 0.750 0.250
Cr4 Cr 0.250 0.750 0.750
Cr5 Cr 0.750 0.250 0.250
Cr6 Cr 0.750 0.250 0.750
Cr7 Cr 0.750 0.750 0.250
Cr8 Cr 0.750 0.750 0.750
Ga1 Ga 0.000 0.000 0.000
Ga2 Ga 0.000 0.500 0.500
Ga3 Ga 0.500 0.000 0.500
Ga4 Ga 0.500 0.500 0.000
P1 P 0.000 0.000 0.500
P2 P 0.000 0.500 0.000
P3 P 0.500 0.000 0.000
P4 P 0.500 0.500 0.500
```

Record 5
First-principles (GGA-PBE) data for a geometry-optimized CeHo3Er2Te6 structure, as listed in Alexandria via LeMat-Bulk.

Formation energy without anion corrections ... -15.1 eV per formula unit
DOS at the Fermi energy ... 1.03 states/eV per atom
Symmetry ... C2/m, No. 12
Density ... 8212 kg/m³

CIF file:
```
data_CeHo3Er2Te6
_space_group_name_H-M_alt 'P 1'
_space_group_IT_number 1
_cell_length_a 9.746
_cell_length_b 9.746
_cell_length_c 8.773
_cell_angle_alpha 103.05
_cell_angle_beta 103.05
_cell_angle_gamma 25.64
loop_
_space_group_symop_operation_xyz
'x,y,z'
loop_
_atom_site_label
_atom_site_type_symbol
_atom_site_fract_x
_atom_site_fract_y
_atom_site_fract_z
Ce1 Ce 0.000 0.000 0.000
Ho1 Ho 0.000 0.000 0.500
Ho2 Ho 0.338 0.338 0.167
Ho3 Ho 0.662 0.662 0.833
Er1 Er 0.337 0.337 0.673
Er2 Er 0.663 0.663 0.327
Te1 Te 0.169 0.169 0.582
Te2 Te 0.172 0.172 0.086
Te3 Te 0.499 0.499 0.741
Te4 Te 0.501 0.501 0.259
Te5 Te 0.828 0.828 0.914
Te6 Te 0.831 0.831 0.418
```

Record 6
First-principles (GGA-PBE) data for a geometry-optimized NaAc2MnSe5 structure, as listed in Alexandria via LeMat-Bulk.

Formation energy without anion corrections ... -12.8 eV per formula unit
DOS at the Fermi energy ... 0.36 states/eV per atom
Symmetry ... Cmc2_1, No. 36
Density ... 6204 kg/m³

CIF file:
```
data_NaAc2MnSe5
_space_group_name_H-M_alt 'P 1'
_space_group_IT_number 1
_cell_length_a 9.238
_cell_length_b 9.238
_cell_length_c 12.800
_cell_angle_alpha 90.00
_cell_angle_beta 90.00
_cell_angle_gamma 153.00
loop_
_space_group_symop_operation_xyz
'x,y,z'
loop_
_atom_site_label
_atom_site_type_symbol
_atom_site_fract_x
_atom_site_fract_y
_atom_site_fract_z
Na1 Na 0.187 0.813 0.500
Na2 Na 0.813 0.187 0.000
Ac1 Ac 0.125 0.875 0.157
Ac2 Ac 0.131 0.869 0.807
Ac3 Ac 0.869 0.131 0.307
Ac4 Ac 0.875 0.125 0.657
Mn1 Mn 0.448 0.552 0.895
Mn2 Mn 0.552 0.448 0.395
Se1 Se 0.017 0.983 0.476
Se2 Se 0.302 0.698 0.161
Se3 Se 0.322 0.678 0.827
Se4 Se 0.346 0.654 0.484
Se5 Se 0.494 0.506 0.224
Se6 Se 0.506 0.494 0.724
Se7 Se 0.654 0.346 0.984
Se8 Se 0.678 0.322 0.327
Se9 Se 0.698 0.302 0.661
Se10 Se 0.983 0.017 0.976
```

Record 7
First-principles (GGA-PBE) data for a geometry-optimized NaAsH4O5 structure, as listed in Alexandria via LeMat-Bulk.

DOS at the Fermi energy ... 0.00 states/eV per atom
ΔE to the lowest computed polymorph ... 0 meV/atom
Symmetry ... P2_1/m, No. 11
Density ... 2517 kg/m³

CIF file:
```
data_NaAsH4O5
_space_group_name_H-M_alt 'P 1'
_space_group_IT_number 1
_cell_length_a 5.634
_cell_length_b 7.186
_cell_length_c 5.938
_cell_angle_alpha 90.00
_cell_angle_beta 93.05
_cell_angle_gamma 90.00
loop_
_space_group_symop_operation_xyz
'x,y,z'
loop_
_atom_site_label
_atom_site_type_symbol
_atom_site_fract_x
_atom_site_fract_y
_atom_site_fract_z
Na1 Na 0.000 0.000 0.000
Na2 Na 0.000 0.500 0.000
As1 As 0.318 0.250 0.526
As2 As 0.682 0.750 0.474
H1 H 0.263 0.558 0.421
H2 H 0.263 0.942 0.421
H3 H 0.321 0.750 0.791
H4 H 0.436 0.750 0.037
H5 H 0.564 0.250 0.963
H6 H 0.679 0.250 0.209
H7 H 0.737 0.058 0.579
H8 H 0.737 0.442 0.579
O1 O 0.199 0.067 0.360
O2 O 0.199 0.433 0.360
O3 O 0.246 0.250 0.797
O4 O 0.281 0.750 0.952
O5 O 0.378 0.750 0.502
O6 O 0.622 0.250 0.498
O7 O 0.719 0.250 0.048
O8 O 0.754 0.750 0.203
O9 O 0.801 0.567 0.640
O10 O 0.801 0.933 0.640
```

Record 8
First-principles (GGA-PBE) data for a geometry-optimized Cd2CoRe structure, as listed in Alexandria via LeMat-Bulk.

Calculated formation energy ... 2.2 eV/f.u.
DOS at the Fermi energy ... 1.08 states/eV per atom
ΔE to the lowest computed polymorph ... 328 meV/atom
Symmetry ... R-3m, No. 166
Density ... 11857 kg/m³

CIF file:
```
data_Cd2CoRe
_space_group_name_H-M_alt 'P 1'
_space_group_IT_number 1
_cell_length_a 2.840
_cell_length_b 2.840
_cell_length_c 28.274
_cell_angle_alpha 90.00
_cell_angle_beta 90.00
_cell_angle_gamma 120.00
loop_
_space_group_symop_operation_xyz
'x,y,z'
loop_
_atom_site_label
_atom_site_type_symbol
_atom_site_fract_x
_atom_site_fract_y
_atom_site_fract_z
Cd1 Cd 0.000 0.000 0.246
Cd2 Cd 0.000 0.000 0.754
Cd3 Cd 0.333 0.667 0.421
Cd4 Cd 0.333 0.667 0.913
Cd5 Cd 0.667 0.333 0.087
Cd6 Cd 0.667 0.333 0.579
Co1 Co 0.000 0.000 0.500
Co2 Co 0.333 0.667 0.167
Co3 Co 0.667 0.333 0.833
Re1 Re 0.000 0.000 0.000
Re2 Re 0.333 0.667 0.667
Re3 Re 0.667 0.333 0.333
```

Record 9
First-principles (GGA-PBE) data for a geometry-optimized NbTl6O12 structure, as listed in Alexandria via LeMat-Bulk.

Formation energy without anion corrections ... -17.6 eV per formula unit
DOS at the Fermi energy ... 0.88 states/eV per atom
Symmetry ... R-3, No. 148
Density ... 9175 kg/m³

CIF file:
```
data_NbTl6O12
_space_group_name_H-M_alt 'P 1'
_space_group_IT_number 1
_cell_length_a 6.581
_cell_length_b 6.581
_cell_length_c 6.581
_cell_angle_alpha 98.91
_cell_angle_beta 98.91
_cell_angle_gamma 98.91
loop_
_space_group_symop_operation_xyz
'x,y,z'
loop_
_atom_site_label
_atom_site_type_symbol
_atom_site_fract_x
_atom_site_fract_y
_atom_site_fract_z
Nb1 Nb 0.000 0.000 0.000
Tl1 Tl 0.135 0.310 0.605
Tl2 Tl 0.310 0.605 0.135
Tl3 Tl 0.395 0.865 0.690
Tl4 Tl 0.605 0.135 0.310
Tl5 Tl 0.690 0.395 0.865
Tl6 Tl 0.865 0.690 0.395
O1 O 0.041 0.906 0.704
O2 O 0.094 0.296 0.959
O3 O 0.175 0.598 0.417
O4 O 0.296 0.959 0.094
O5 O 0.402 0.583 0.825
O6 O 0.417 0.175 0.598
O7 O 0.583 0.825 0.402
O8 O 0.598 0.417 0.175
O9 O 0.704 0.041 0.906
O10 O 0.825 0.402 0.583
O11 O 0.906 0.704 0.041
O12 O 0.959 0.094 0.296
```

Record 10
First-principles (GGA-PBE) data for a geometry-optimized PmNd2Re structure, as listed in Alexandria via LeMat-Bulk.

Calculated formation energy ... 3.6 eV/f.u.
DOS at the Fermi energy ... 1.44 states/eV per atom
Symmetry ... R-3m, No. 166
Density ... 9198 kg/m³

CIF file:
```
data_PmNd2Re
_space_group_name_H-M_alt 'P 1'
_space_group_IT_number 1
_cell_length_a 3.321
_cell_length_b 3.321
_cell_length_c 35.133
_cell_angle_alpha 90.00
_cell_angle_beta 90.00
_cell_angle_gamma 120.00
loop_
_space_group_symop_operation_xyz
'x,y,z'
loop_
_atom_site_label
_atom_site_type_symbol
_atom_site_fract_x
_atom_site_fract_y
_atom_site_fract_z
Pm1 Pm 0.000 0.000 0.000
Pm2 Pm 0.333 0.667 0.667
Pm3 Pm 0.667 0.333 0.333
Nd1 Nd 0.000 0.000 0.424
Nd2 Nd 0.000 0.000 0.576
Nd3 Nd 0.333 0.667 0.091
Nd4 Nd 0.333 0.667 0.243
Nd5 Nd 0.667 0.333 0.757
Nd6 Nd 0.667 0.333 0.909
Re1 Re 0.000 0.000 0.500
Re2 Re 0.333 0.667 0.167
Re3 Re 0.667 0.333 0.833
```

Record 11
First-principles (GGA-PBE) data for a geometry-optimized Pa4S5O structure, as listed in Alexandria via LeMat-Bulk.

Formation energy without anion corrections ... -17.0 eV per formula unit
DOS at the Fermi energy ... 1.33 states/eV per atom
Symmetry ... C2/m, No. 12
Density ... 8133 kg/m³

CIF file:
```
data_Pa4S5O
_space_group_name_H-M_alt 'P 1'
_space_group_IT_number 1
_cell_length_a 8.485
_cell_length_b 8.485
_cell_length_c 7.511
_cell_angle_alpha 104.32
_cell_angle_beta 104.32
_cell_angle_gamma 25.44
loop_
_space_group_symop_operation_xyz
'x,y,z'
loop_
_atom_site_label
_atom_site_type_symbol
_atom_site_fract_x
_atom_site_fract_y
_atom_site_fract_z
Pa1 Pa 0.004 0.004 0.270
Pa2 Pa 0.340 0.340 0.413
Pa3 Pa 0.660 0.660 0.587
Pa4 Pa 0.996 0.996 0.730
S1 S 0.163 0.163 0.844
S2 S 0.172 0.172 0.326
S3 S 0.500 0.500 0.000
S4 S 0.828 0.828 0.674
S5 S 0.837 0.837 0.156
O1 O 0.500 0.500 0.500
```